# CeTm3Pb3 PBE relaxed
# Formation enthalpy at 0 K (meV per atom): -317
# M_tot (μB per formula unit): 0.75
# Electronic total energy (Ry/atom): -0.34329
data_CeTm3Pb3
_chemical_formula_sum 'Ce2 Tm6 Pb6'
_cell_length_a 9.2321
_cell_length_b 9.2321
_cell_length_c 5.5208
_cell_angle_alpha 90.00
_cell_angle_beta 90.00
_cell_angle_gamma 120.00
_symmetry_space_group_name_H-M 'P 63/m'
_symmetry_Int_Tables_number 176
_symmetry_space_group_name_Hall '-P 6c'
loop_
_atom_site_label
_atom_site_type_symbol
_atom_site_fract_x
_atom_site_fract_y
_atom_site_fract_z
Ce1 Ce 0.3333 0.6667 0.2500
Tm1 Tm 0.0093 0.7749 0.2500
Pb1 Pb 0.0753 0.6297 0.7500